No. 1
Crystalline AcTmZnBi at its relaxed geometry. Source: Alexandria via LeMat-Bulk, functional PBE-GGA.

Computed properties:
Energy   -3.785 eV/atom
Theoretical density   9358 kg/m³
Energy relative to the elements   -136 kJ/mol of formula units
Crystal system   cubic

Lattice parameters (Å, degrees): 7.8068 7.8068 7.8068 90.00 90.00 90.00
Last column: nearest neighbours and their distance in Å.
Fractional coordinates of all 16 atoms:
1 Ac 0.0000 0.0000 0.0000  4 Zn 3.38, 4 Bi 3.38
2 Ac 0.0000 0.5000 0.5000  4 Zn 3.38, 4 Bi 3.38
3 Ac 0.5000 0.0000 0.5000  4 Zn 3.38, 4 Bi 3.38
4 Ac 0.5000 0.5000 0.0000  4 Zn 3.38, 4 Bi 3.38
5 Tm 0.0000 0.0000 0.5000  4 Bi 3.38, 4 Zn 3.38
6 Tm 0.0000 0.5000 0.0000  4 Bi 3.38, 4 Zn 3.38
7 Tm 0.5000 0.0000 0.0000  4 Bi 3.38, 4 Zn 3.38
8 Tm 0.5000 0.5000 0.5000  4 Bi 3.38, 4 Zn 3.38
9 Zn 0.2500 0.2500 0.2500  4 Ac 3.38, 4 Tm 3.38
10 Zn 0.2500 0.7500 0.7500  4 Ac 3.38, 4 Tm 3.38
11 Zn 0.7500 0.2500 0.7500  4 Ac 3.38, 4 Tm 3.38
12 Zn 0.7500 0.7500 0.2500  4 Ac 3.38, 4 Tm 3.38
13 Bi 0.2500 0.2500 0.7500  4 Ac 3.38, 4 Tm 3.38
14 Bi 0.2500 0.7500 0.2500  4 Ac 3.38, 4 Tm 3.38
15 Bi 0.7500 0.2500 0.2500  4 Ac 3.38, 4 Tm 3.38
16 Bi 0.7500 0.7500 0.7500  4 Ac 3.38, 4 Tm 3.38

---

No. 2
Crystalline AcY4Bi5 at its relaxed geometry. Source: Alexandria via LeMat-Bulk, functional PBE-GGA.

Computed properties:
Energy   -5.837 eV/atom
Theoretical density   8033 kg/m³
Energy relative to the elements   -869 kJ/mol of formula units
Crystal system   monoclinic

Lattice parameters (Å, degrees): 7.8981 7.8981 11.1901 118.09 118.09 33.61
Last column: nearest neighbours and their distance in Å.
Fractional coordinates of all 10 atoms:
1 Ac 0.0000 0.0000 0.0000  6 Bi 3.35-3.37
2 Y 0.2024 0.2024 0.7924  6 Bi 3.17-3.25
3 Y 0.4051 0.4051 0.6034  6 Bi 3.16-3.22
4 Y 0.5949 0.5949 0.3966  6 Bi 3.16-3.22
5 Y 0.7976 0.7976 0.2076  6 Bi 3.17-3.25
6 Bi 0.0000 0.0000 0.5000  6 Y 3.20
7 Bi 0.2048 0.2048 0.3140  5 Y 3.16-3.22, 1 Ac 3.35
8 Bi 0.3900 0.3900 0.1058  4 Y 3.17-3.25, 2 Ac 3.37
9 Bi 0.6100 0.6100 0.8942  4 Y 3.17-3.25, 2 Ac 3.37
10 Bi 0.7952 0.7952 0.6860  5 Y 3.16-3.22, 1 Ac 3.35

---

No. 3
Crystalline AcY3Bi4 at its relaxed geometry. Source: Alexandria via LeMat-Bulk, functional PBE-GGA.

Computed properties:
Energy   -5.775 eV/atom
Theoretical density   8071 kg/m³
Energy relative to the elements   -692 kJ/mol of formula units
Crystal system   orthorhombic

Lattice parameters (Å, degrees): 9.1784 12.9749 4.5942 90.00 90.00 90.00
Last column: nearest neighbours and their distance in Å.
Fractional coordinates of all 16 atoms:
1 Ac 0.0000 0.0000 0.0000  6 Bi 3.34-3.35
2 Ac 0.5000 0.5000 0.0000  6 Bi 3.34-3.35
3 Y 0.0000 0.5000 0.0000  6 Bi 3.15
4 Y 0.2500 0.2500 0.5000  6 Bi 3.25
5 Y 0.2500 0.7500 0.5000  6 Bi 3.25
6 Y 0.5000 0.0000 0.0000  6 Bi 3.15
7 Y 0.7500 0.2500 0.5000  6 Bi 3.25
8 Y 0.7500 0.7500 0.5000  6 Bi 3.25
9 Bi 0.0000 0.2574 0.0000  5 Y 3.15-3.25, 1 Ac 3.34
10 Bi 0.0000 0.7426 0.0000  5 Y 3.15-3.25, 1 Ac 3.34
11 Bi 0.2349 0.5000 0.5000  4 Y 3.15-3.25, 2 Ac 3.35
12 Bi 0.2651 0.0000 0.5000  4 Y 3.15-3.25, 2 Ac 3.35
13 Bi 0.5000 0.2426 0.0000  5 Y 3.15-3.25, 1 Ac 3.34
14 Bi 0.5000 0.7574 0.0000  5 Y 3.15-3.25, 1 Ac 3.34
15 Bi 0.7349 0.0000 0.5000  4 Y 3.15-3.25, 2 Ac 3.35
16 Bi 0.7651 0.5000 0.5000  4 Y 3.15-3.25, 2 Ac 3.35

---

No. 4
Crystalline Ac5Y3Bi12 at its relaxed geometry. Source: Alexandria via LeMat-Bulk, functional PBE-GGA.

Computed properties:
Energy   -4.620 eV/atom
Theoretical density   7436 kg/m³
Energy relative to the elements   -568 kJ/mol of formula units
Crystal system   cubic

Lattice parameters (Å, degrees): 16.5537 16.5537 16.5537 109.47 109.47 109.47
Last column: nearest neighbours and their distance in Å.
Fractional coordinates of all 80 atoms:
1 Ac 0.0000 0.0000 0.0000  6 Bi 3.49
2 Ac 0.0000 0.0000 0.5000  6 Bi 3.49
3 Ac 0.0000 0.5000 0.0000  6 Bi 3.49
4 Ac 0.0000 0.5000 0.5000  6 Bi 3.49
5 Ac 0.1250 0.7500 0.8750  4 Bi 3.27
6 Ac 0.1250 0.8750 0.2500  4 Bi 3.27
7 Ac 0.2500 0.1250 0.8750  4 Bi 3.27
8 Ac 0.2500 0.6250 0.3750  4 Bi 3.27
9 Ac 0.3750 0.2500 0.6250  4 Bi 3.27
10 Ac 0.3750 0.6250 0.7500  4 Bi 3.27
11 Ac 0.5000 0.0000 0.0000  6 Bi 3.49
12 Ac 0.5000 0.0000 0.5000  6 Bi 3.49
13 Ac 0.5000 0.5000 0.0000  6 Bi 3.49
14 Ac 0.5000 0.5000 0.5000  6 Bi 3.49
15 Ac 0.6250 0.3750 0.2500  4 Bi 3.27
16 Ac 0.6250 0.7500 0.3750  4 Bi 3.27
17 Ac 0.7500 0.3750 0.6250  4 Bi 3.27
18 Ac 0.7500 0.8750 0.1250  4 Bi 3.27
19 Ac 0.8750 0.1250 0.7500  4 Bi 3.27
20 Ac 0.8750 0.2500 0.1250  4 Bi 3.27
21 Y 0.1250 0.2500 0.3750  4 Bi 3.10
22 Y 0.1250 0.3750 0.7500  4 Bi 3.10
23 Y 0.2500 0.3750 0.1250  4 Bi 3.10
24 Y 0.2500 0.8750 0.6250  4 Bi 3.10
25 Y 0.3750 0.1250 0.2500  4 Bi 3.10
26 Y 0.3750 0.7500 0.1250  4 Bi 3.10
27 Y 0.6250 0.2500 0.8750  4 Bi 3.10
28 Y 0.6250 0.8750 0.7500  4 Bi 3.10
29 Y 0.7500 0.1250 0.3750  4 Bi 3.10
30 Y 0.7500 0.6250 0.8750  4 Bi 3.10
31 Y 0.8750 0.6250 0.2500  4 Bi 3.10
32 Y 0.8750 0.7500 0.6250  4 Bi 3.10
33 Bi 0.0653 0.6427 0.3940  1 Y 3.10, 1 Bi 3.17, 1 Ac 3.27
34 Bi 0.0653 0.9227 0.6714  1 Y 3.10, 1 Bi 3.17, 1 Ac 3.27
35 Bi 0.0773 0.2487 0.1427  1 Y 3.10, 1 Bi 3.17, 1 Ac 3.27
36 Bi 0.0773 0.3286 0.9347  1 Y 3.10, 1 Bi 3.17, 1 Ac 3.27
37 Bi 0.1060 0.7487 0.6714  1 Y 3.10, 1 Bi 3.17, 1 Ac 3.27
38 Bi 0.1060 0.8573 0.4347  1 Y 3.10, 1 Bi 3.17, 1 Ac 3.27
39 Bi 0.1427 0.0773 0.2487  1 Y 3.10, 1 Bi 3.17, 1 Ac 3.27
40 Bi 0.1427 0.5653 0.8940  1 Y 3.10, 1 Bi 3.17, 1 Ac 3.27
41 Bi 0.1714 0.2487 0.6060  1 Y 3.10, 1 Bi 3.17, 1 Ac 3.27
42 Bi 0.1714 0.4227 0.5653  1 Y 3.10, 1 Bi 3.17, 1 Ac 3.27
43 Bi 0.2487 0.1427 0.0773  1 Y 3.10, 1 Bi 3.17, 1 Ac 3.27
44 Bi 0.2487 0.6060 0.1714  1 Y 3.10, 1 Bi 3.17, 1 Ac 3.27
45 Bi 0.2513 0.3286 0.8940  1 Y 3.10, 1 Bi 3.17, 1 Ac 3.27
46 Bi 0.2513 0.4227 0.3573  1 Y 3.10, 1 Bi 3.17, 1 Ac 3.27
47 Bi 0.3286 0.8940 0.2513  1 Y 3.10, 1 Bi 3.17, 1 Ac 3.27
48 Bi 0.3286 0.9347 0.0773  1 Y 3.10, 1 Bi 3.17, 1 Ac 3.27
49 Bi 0.3573 0.2513 0.4227  1 Y 3.10, 1 Bi 3.17, 1 Ac 3.27
50 Bi 0.3573 0.6060 0.9347  1 Y 3.10, 1 Bi 3.17, 1 Ac 3.27
51 Bi 0.3940 0.0653 0.6427  1 Y 3.10, 1 Bi 3.17, 1 Ac 3.27
52 Bi 0.3940 0.8286 0.7513  1 Y 3.10, 1 Bi 3.17, 1 Ac 3.27
53 Bi 0.4227 0.3573 0.2513  1 Y 3.10, 1 Bi 3.17, 1 Ac 3.27
54 Bi 0.4227 0.5653 0.1714  1 Y 3.10, 1 Bi 3.17, 1 Ac 3.27
55 Bi 0.4347 0.1060 0.8573  1 Y 3.10, 1 Bi 3.17, 1 Ac 3.27
56 Bi 0.4347 0.8286 0.5773  1 Y 3.10, 1 Bi 3.17, 1 Ac 3.27
57 Bi 0.5653 0.1714 0.4227  1 Y 3.10, 1 Bi 3.17, 1 Ac 3.27
58 Bi 0.5653 0.8940 0.1427  1 Y 3.10, 1 Bi 3.17, 1 Ac 3.27
59 Bi 0.5773 0.4347 0.8286  1 Y 3.10, 1 Bi 3.17, 1 Ac 3.27
60 Bi 0.5773 0.6427 0.7487  1 Y 3.10, 1 Bi 3.17, 1 Ac 3.27
61 Bi 0.6060 0.1714 0.2487  1 Y 3.10, 1 Bi 3.17, 1 Ac 3.27
62 Bi 0.6060 0.9347 0.3573  1 Y 3.10, 1 Bi 3.17, 1 Ac 3.27
63 Bi 0.6427 0.3940 0.0653  1 Y 3.10, 1 Bi 3.17, 1 Ac 3.27
64 Bi 0.6427 0.7487 0.5773  1 Y 3.10, 1 Bi 3.17, 1 Ac 3.27
65 Bi 0.6714 0.0653 0.9227  1 Y 3.10, 1 Bi 3.17, 1 Ac 3.27
66 Bi 0.6714 0.1060 0.7487  1 Y 3.10, 1 Bi 3.17, 1 Ac 3.27
67 Bi 0.7487 0.5773 0.6427  1 Y 3.10, 1 Bi 3.17, 1 Ac 3.27
68 Bi 0.7487 0.6714 0.1060  1 Y 3.10, 1 Bi 3.17, 1 Ac 3.27
69 Bi 0.7513 0.3940 0.8286  1 Y 3.10, 1 Bi 3.17, 1 Ac 3.27
70 Bi 0.7513 0.8573 0.9227  1 Y 3.10, 1 Bi 3.17, 1 Ac 3.27
71 Bi 0.8286 0.5773 0.4347  1 Y 3.10, 1 Bi 3.17, 1 Ac 3.27
72 Bi 0.8286 0.7513 0.3940  1 Y 3.10, 1 Bi 3.17, 1 Ac 3.27
73 Bi 0.8573 0.4347 0.1060  1 Y 3.10, 1 Bi 3.17, 1 Ac 3.27
74 Bi 0.8573 0.9227 0.7513  1 Y 3.10, 1 Bi 3.17, 1 Ac 3.27
75 Bi 0.8940 0.1427 0.5653  1 Y 3.10, 1 Bi 3.17, 1 Ac 3.27
76 Bi 0.8940 0.2513 0.3286  1 Y 3.10, 1 Bi 3.17, 1 Ac 3.27
77 Bi 0.9227 0.6714 0.0653  1 Y 3.10, 1 Bi 3.17, 1 Ac 3.27
78 Bi 0.9227 0.7513 0.8573  1 Y 3.10, 1 Bi 3.17, 1 Ac 3.27
79 Bi 0.9347 0.0773 0.3286  1 Y 3.10, 1 Bi 3.17, 1 Ac 3.27
80 Bi 0.9347 0.3573 0.6060  1 Y 3.10, 1 Bi 3.17, 1 Ac 3.27

---

No. 5
Crystalline AcY5Bi6 at its relaxed geometry. Source: Alexandria via LeMat-Bulk, functional PBE-GGA.

Computed properties:
Energy   -5.872 eV/atom
Theoretical density   7977 kg/m³
Energy relative to the elements   -1038 kJ/mol of formula units
Crystal system   monoclinic

Lattice parameters (Å, degrees): 7.8904 7.8904 7.8919 99.65 99.65 120.01
Last column: nearest neighbours and their distance in Å.
Fractional coordinates of all 12 atoms:
1 Ac 0.0000 0.0000 0.0000  6 Bi 3.33-3.34
2 Y 0.1613 0.8387 0.5000  6 Bi 3.15-3.23
3 Y 0.3314 0.6686 0.0000  6 Bi 3.20-3.22
4 Y 0.5000 0.5000 0.5000  6 Bi 3.12-3.22
5 Y 0.6686 0.3314 0.0000  6 Bi 3.20-3.22
6 Y 0.8387 0.1613 0.5000  6 Bi 3.15-3.23
7 Bi 0.0868 0.4327 0.2593  5 Y 3.15-3.23, 1 Ac 3.34
8 Bi 0.2621 0.2621 0.7461  5 Y 3.12-3.21, 1 Ac 3.33
9 Bi 0.4327 0.0868 0.2593  5 Y 3.15-3.23, 1 Ac 3.34
10 Bi 0.5673 0.9132 0.7407  5 Y 3.15-3.23, 1 Ac 3.34
11 Bi 0.7379 0.7379 0.2539  5 Y 3.12-3.21, 1 Ac 3.33
12 Bi 0.9132 0.5673 0.7407  5 Y 3.15-3.23, 1 Ac 3.34

---

No. 6
Crystalline Ac2YBi3 at its relaxed geometry. Source: Alexandria via LeMat-Bulk, functional PBE-GGA.

Computed properties:
Energy   -5.332 eV/atom
Theoretical density   8525 kg/m³
Energy relative to the elements   -547 kJ/mol of formula units
Crystal system   monoclinic

Lattice parameters (Å, degrees): 8.2350 8.2350 8.2301 99.63 99.63 119.96
Last column: nearest neighbours and their distance in Å.
Fractional coordinates of all 12 atoms:
1 Ac 0.0000 0.0000 0.0000  6 Bi 3.37-3.38
2 Ac 0.1628 0.8372 0.5000  6 Bi 3.38-3.47
3 Ac 0.5000 0.5000 0.5000  6 Bi 3.36-3.46
4 Ac 0.8372 0.1628 0.5000  6 Bi 3.38-3.47
5 Y 0.3318 0.6682 0.0000  6 Bi 3.25-3.26
6 Y 0.6682 0.3318 0.0000  6 Bi 3.25-3.26
7 Bi 0.0792 0.4244 0.2366  2 Y 3.25-3.26, 4 Ac 3.38-3.47
8 Bi 0.2686 0.2686 0.7680  2 Y 3.26, 4 Ac 3.36-3.45
9 Bi 0.4244 0.0792 0.2366  2 Y 3.25-3.26, 4 Ac 3.38-3.47
10 Bi 0.5756 0.9208 0.7634  2 Y 3.25-3.26, 4 Ac 3.38-3.47
11 Bi 0.7314 0.7314 0.2320  2 Y 3.26, 4 Ac 3.36-3.45
12 Bi 0.9208 0.5756 0.7634  2 Y 3.25-3.26, 4 Ac 3.38-3.47

---

No. 7
Crystalline AcY3Bi2 at its relaxed geometry. Source: Alexandria via LeMat-Bulk, functional PBE-GGA.

Computed properties:
Energy   -5.733 eV/atom
Theoretical density   7554 kg/m³
Energy relative to the elements   -302 kJ/mol of formula units
Crystal system   monoclinic

Lattice parameters (Å, degrees): 9.9061 9.9061 9.9044 112.68 112.68 26.69
Last column: nearest neighbours and their distance in Å.
Fractional coordinates of all 12 atoms:
1 Ac 0.1136 0.1136 0.1311  6 Bi 3.47-3.59
2 Ac 0.8864 0.8864 0.8689  6 Bi 3.47-3.59
3 Y 0.0604 0.0604 0.6749  3 Bi 3.12-3.39, 3 Y 3.32-3.43
4 Y 0.3105 0.3105 0.1092  3 Bi 3.21-3.33, 4 Y 3.37-3.43
5 Y 0.3623 0.3623 0.5191  4 Bi 3.27-3.49, 2 Y 3.66
6 Y 0.6377 0.6377 0.4809  4 Bi 3.27-3.49, 2 Y 3.66
7 Y 0.6895 0.6895 0.8908  3 Bi 3.21-3.33, 4 Y 3.37-3.43
8 Y 0.9396 0.9396 0.3251  3 Bi 3.12-3.39, 3 Y 3.32-3.43
9 Bi 0.2421 0.2421 0.7063  6 Y 3.27-3.49, 2 Ac 3.47
10 Bi 0.4856 0.4856 0.1621  4 Y 3.12-3.35, 2 Ac 3.47, 1 Bi 3.47
11 Bi 0.5144 0.5144 0.8379  4 Y 3.12-3.35, 2 Ac 3.47, 1 Bi 3.47
12 Bi 0.7579 0.7579 0.2937  6 Y 3.27-3.49, 2 Ac 3.47

---

No. 8
Crystalline Ac4YBi5 at its relaxed geometry. Source: Alexandria via LeMat-Bulk, functional PBE-GGA.

Computed properties:
Energy   -5.189 eV/atom
Theoretical density   8622 kg/m³
Energy relative to the elements   -925 kJ/mol of formula units
Crystal system   tetragonal

Lattice parameters (Å, degrees): 8.3238 8.3238 8.3238 99.66 99.66 131.63
Last column: nearest neighbours and their distance in Å.
Fractional coordinates of all 10 atoms:
1 Ac 0.0958 0.6998 0.7956  6 Bi 3.38-3.48
2 Ac 0.3002 0.0958 0.3960  6 Bi 3.38-3.48
3 Ac 0.6998 0.9042 0.6040  6 Bi 3.38-3.48
4 Ac 0.9042 0.3002 0.2044  6 Bi 3.38-3.48
5 Y 0.5000 0.5000 0.0000  6 Bi 3.26-3.41
6 Bi 0.0000 0.0000 0.0000  4 Ac 3.38, 2 Y 3.41
7 Bi 0.2119 0.4031 0.6150  1 Y 3.26, 5 Ac 3.41-3.48
8 Bi 0.4031 0.7881 0.1912  1 Y 3.26, 5 Ac 3.41-3.48
9 Bi 0.5969 0.2119 0.8088  1 Y 3.26, 5 Ac 3.41-3.48
10 Bi 0.7881 0.5969 0.3850  1 Y 3.26, 5 Ac 3.41-3.48

---

No. 9
Crystalline AcZnBi2 at its relaxed geometry. Source: Alexandria via LeMat-Bulk, functional PBE-GGA.

Computed properties:
Energy   -3.718 eV/atom
Theoretical density   9676 kg/m³
Energy relative to the elements   -167 kJ/mol of formula units
Crystal system   tetragonal

Lattice parameters (Å, degrees): 4.8770 4.8770 5.1255 90.00 90.00 90.00
Last column: nearest neighbours and their distance in Å.
Fractional coordinates of all 4 atoms:
1 Ac 0.0000 0.0000 0.0000  4 Zn 3.45, 8 Bi 3.54
2 Zn 0.5000 0.5000 0.0000  4 Ac 3.45, 8 Bi 3.54
3 Bi 0.0000 0.5000 0.5000  4 Bi 3.45, 4 Ac 3.54, 4 Zn 3.54
4 Bi 0.5000 0.0000 0.5000  4 Bi 3.45, 4 Ac 3.54, 4 Zn 3.54

---

No. 10
Crystalline Ac2ZnBi at its relaxed geometry. Source: Alexandria via LeMat-Bulk, functional PBE-GGA.

Computed properties:
Energy   -3.344 eV/atom
Theoretical density   6484 kg/m³
Energy relative to the elements   0 kJ/mol of formula units
Crystal system   trigonal

Lattice parameters (Å, degrees): 4.4502 4.4502 32.6285 90.00 90.00 120.00
Last column: nearest neighbours and their distance in Å.
Fractional coordinates of all 12 atoms:
1 Ac 0.0000 0.0000 0.1013  1 Zn 3.31, 3 Bi 3.34
2 Ac 0.0000 0.0000 0.8987  1 Zn 3.31, 3 Bi 3.34
3 Ac 0.3333 0.6667 0.5654  1 Zn 3.31, 3 Bi 3.34
4 Ac 0.3333 0.6667 0.7680  1 Zn 3.31, 3 Bi 3.34
5 Ac 0.6667 0.3333 0.2320  1 Zn 3.31, 3 Bi 3.34
6 Ac 0.6667 0.3333 0.4346  1 Zn 3.31, 3 Bi 3.34
7 Zn 0.0000 0.0000 0.0000  2 Ac 3.31
8 Zn 0.3333 0.6667 0.6667  2 Ac 3.31
9 Zn 0.6667 0.3333 0.3333  2 Ac 3.31
10 Bi 0.0000 0.0000 0.5000  6 Ac 3.34
11 Bi 0.3333 0.6667 0.1667  6 Ac 3.34
12 Bi 0.6667 0.3333 0.8333  6 Ac 3.34